[1]
Density functional theory data (PBE-GGA) for a relaxed ScPaRh crystal.

POSCAR file:
```
ScPaRh
1.0
2.194 1.267 7.576
-2.194 1.267 7.576
0.000 -2.534 7.576
Sc Pa Rh
2 2 2
direct
0.134 0.134 0.134
0.866 0.866 0.866
0.299 0.299 0.299
0.701 0.701 0.701
0.433 0.433 0.433
0.567 0.567 0.567
```

Calculated values
energy relative to the elements: -433 meV/atom
energy above the lowest structure with this stoichiometry: 0.029 eV/atom
crystal system: trigonal



[2]
Density functional theory data (PBE-GGA) for a relaxed GaTe2O2 crystal.

POSCAR file:
```
GaTe2O2
1.0
7.606 0.000 0.000
0.000 7.606 0.000
0.000 0.000 3.973
Ga Te O
2 4 4
direct
0.000 0.000 0.000
0.500 0.500 0.000
0.144 0.356 0.000
0.356 0.856 0.000
0.644 0.144 0.000
0.856 0.644 0.000
0.203 0.297 0.500
0.297 0.797 0.500
0.703 0.203 0.500
0.797 0.703 0.500
```

Calculated values
energy above the lowest structure with this stoichiometry: 0.000 eV/atom
crystal system: tetragonal
formation energy from raw total energies: -1.2 eV per formula unit



[3]
Density functional theory data (PBE-GGA) for a relaxed PmDyHo crystal.

POSCAR file:
```
PmDyHo
1.0
-1.786 1.786 7.579
1.786 -1.786 7.579
1.786 1.786 -7.579
Pm Dy Ho
1 1 1
direct
0.000 0.000 0.000
0.332 0.332 0.000
0.668 0.668 0.000
```

Calculated values
energy relative to the elements: 20 meV/atom
energy above the lowest structure with this stoichiometry: 0.001 eV/atom
crystal system: tetragonal



Please write out number 2 again, unchanged.
Density functional theory data (PBE-GGA) for a relaxed GaTe2O2 crystal.

POSCAR file:
```
GaTe2O2
1.0
7.606 0.000 0.000
0.000 7.606 0.000
0.000 0.000 3.973
Ga Te O
2 4 4
direct
0.000 0.000 0.000
0.500 0.500 0.000
0.144 0.356 0.000
0.356 0.856 0.000
0.644 0.144 0.000
0.856 0.644 0.000
0.203 0.297 0.500
0.297 0.797 0.500
0.703 0.203 0.500
0.797 0.703 0.500
```

Calculated values
energy above the lowest structure with this stoichiometry: 0.000 eV/atom
crystal system: tetragonal
formation energy from raw total energies: -1.2 eV per formula unit



Q: energy above the lowest structure with this stoichiometry of number 3 (PmDyHo)?
A: 0.001 eV/atom